This record from Alexandria via LeMat-Bulk describes Cr2FeAgN after structural relaxation. The functional is PBE.

**Excess energy over the best structure of this formula in the dataset**: 2124.3 meV per atom
**Crystal system**: tetragonal
**V**: 15.86 Å³/atom
**Density of states at the Fermi level**: 7.598 states/eV per cell
**Total moment**: 0.111 μB/f.u.

Cell: 4.091 4.740 4.091 Å, 90.00 90.00 90.00°
Fractional positions:
Cr: 0.000 0.000 0.500
Cr: 0.500 0.000 0.000
Fe: 0.000 0.000 0.000
Ag: 0.000 0.500 0.000
N: 0.500 0.500 0.500